Rb3H5N2 | PBE-GGA | optimized geometry

The total energy comes out at -144.46 eV for the cell shown.

It has space group Ibam (No. 72), with a = 7.264 Å, b = 15.543 Å, c = 5.731 Å, α = 90.00°, β = 90.00° and γ = 90.00°. The asymmetric unit holds Rb at (0.000, 0.000, 0.250), Rb at (0.146, 0.353, 0.000), H at (0.000, 0.175, 0.250), H at (0.000, 0.500, 0.250), H at (0.171, 0.167, 0.000) and N at (0.028, 0.168, 0.000).



RbHN | PBE-GGA | optimized geometry

The total energy comes out at -23.68 eV for the cell shown. The value obtained for the relative energy among the computed polymorphs is 0.354 eV/atom.

It has space group P2_1/m (No. 11), with a = 4.497 Å, b = 3.795 Å, c = 8.437 Å, α = 90.00°, β = 102.91° and γ = 90.00°. The asymmetric unit holds Rb at (0.136, 0.250, 0.202), H at (0.383, 0.250, 0.870) and N at (0.450, 0.750, 0.023).



RbH2N | PBE-GGA | optimized geometry

The total energy comes out at -34.48 eV for the cell shown. The value obtained for the relative energy among the computed polymorphs is 0.039 eV/atom.

It has space group Imm2 (No. 44), with a = 4.649 Å, b = 7.214 Å, c = 4.278 Å, α = 90.00°, β = 90.00° and γ = 90.00°. The asymmetric unit holds Rb at (0.000, 0.000, 0.000), H at (0.000, 0.390, 0.094) and N at (0.000, 0.500, 0.940).



RbH3N | PBE-GGA | optimized geometry

The total energy comes out at -62.05 eV for the cell shown. The value obtained for the relative energy among the computed polymorphs is 0.000 eV/atom.

It has space group R3m (No. 160, hexagonal axes), with a = 8.4906 Å, b = 8.4906 Å, c = 6.9274 Å, α = 90.00°, β = 90.00° and γ = 120.00°. The asymmetric unit holds Rb at (0.0000, 0.0000, 0.0000), H at (0.1295, 0.0647, 0.4835) and N at (0.0000, 0.0000, 0.4268).



RbH6N2 | PBE-GGA | optimized geometry

The total energy comes out at -324.27 eV for the cell shown.

It has space group Fdd2 (No. 43), with a = 12.109 Å, b = 15.313 Å, c = 7.772 Å, α = 90.00°, β = 90.00° and γ = 90.00°. The asymmetric unit holds Rb at (0.000, 0.000, 0.000), H at (0.002, 0.220, 0.542), H at (0.053, 0.375, 0.997), H at (0.089, 0.289, 0.886) and N at (0.072, 0.309, 0.010).



RbH6N | PBE-GGA | optimized geometry

The total energy comes out at -80.07 eV for the cell shown.

It has space group R-3m (No. 166, hexagonal axes), with a = 5.8653 Å, b = 5.8653 Å, c = 7.2731 Å, α = 90.00°, β = 90.00° and γ = 120.00°. The asymmetric unit holds Rb at (0.0000, 0.0000, 0.0000), H at (0.0738, 0.5369, 0.0370) and N at (0.0000, 0.0000, 0.5000).